Record 1
The following is a DFT calculation (PBE-GGA) of crystalline K2LaZr at its relaxed geometry.

Properties
- Total energy: -12.8 eV per formula unit
- Crystal system: orthorhombic
- E_form: 69 kJ/mol of atoms
- V: 37.133 Å³/atom
- SG: No. 65

a = 3.4283 Å, b = 3.4283 Å, c = 14.3803 Å
α = 90.00°, β = 90.00°, γ = 118.50°
Fractional coordinates of all 4 atoms:
K: 0.0000 0.0000 0.2367
K: 0.0000 0.0000 0.7633
La: 0.5000 0.5000 0.5000
Zr: 0.5000 0.5000 0.0000

***

Record 2
The following is a DFT calculation (PBE-GGA) of crystalline KLi at its relaxed geometry.

Properties
- Total energy: -2.7 eV per formula unit
- Crystal system: triclinic
- E_form: 13 kJ/mol of atoms
- V: 43.833 Å³/atom
- SG: No. 2

a = 3.9422 Å, b = 6.7660 Å, c = 7.2580 Å
α = 109.26°, β = 105.36°, γ = 90.27°
Fractional coordinates of all 4 atoms:
K: 0.0995 0.3262 0.2038
K: 0.9005 0.6738 0.7962
Li: 0.3333 0.1211 0.6659
Li: 0.6667 0.8789 0.3341

***

Record 3
The following is a DFT calculation (PBE-GGA) of crystalline KLi at its relaxed geometry.

Properties
- Total energy: -2.8 eV per formula unit
- Crystal system: monoclinic
- E_form: 10 kJ/mol of atoms
- V: 44.046 Å³/atom
- SG: No. 11

a = 4.2055 Å, b = 4.0549 Å, c = 10.3318 Å
α = 90.00°, β = 90.28°, γ = 90.00°
Fractional coordinates of all 4 atoms:
K: 0.2442 0.2500 0.1884
K: 0.7558 0.7500 0.8116
Li: 0.2511 0.2500 0.5494
Li: 0.7489 0.7500 0.4506

***

Record 4
The following is a DFT calculation (PBE-GGA) of crystalline KLi at its relaxed geometry.

Properties
- Total energy: -2.8 eV per formula unit
- Crystal system: monoclinic
- E_form: 12 kJ/mol of atoms
- V: 44.820 Å³/atom
- SG: No. 8

a = 7.4756 Å, b = 7.4756 Å, c = 8.7402 Å
α = 107.63°, β = 107.63°, γ = 35.50°
Fractional coordinates of all 6 atoms:
K: 0.0000 0.0000 0.0000
K: 0.9998 0.9998 0.4596
K: 0.2925 0.2925 0.6277
Li: 0.2947 0.2947 0.1179
Li: 0.6876 0.6876 0.8907
Li: 0.7054 0.7054 0.2561

***

Record 5
The following is a DFT calculation (PBE-GGA) of crystalline KLi3 at its relaxed geometry.

Properties
- Total energy: -6.0 eV per formula unit
- Crystal system: tetragonal
- E_form: 19 kJ/mol of atoms
- V: 31.852 Å³/atom
- SG: No. 123

a = 5.6756 Å, b = 5.6756 Å, c = 3.9552 Å
α = 90.00°, β = 90.00°, γ = 90.00°
Fractional coordinates of all 4 atoms:
K: 0.0000 0.0000 0.0000
Li: 0.0000 0.5000 0.5000
Li: 0.5000 0.0000 0.5000
Li: 0.5000 0.5000 0.0000

***

Record 6
The following is a DFT calculation (PBE-GGA) of crystalline KLi2 at its relaxed geometry.

Properties
- Total energy: -4.6 eV per formula unit
- Crystal system: monoclinic
- E_form: 12 kJ/mol of atoms
- V: 37.838 Å³/atom
- SG: No. 12

a = 9.5379 Å, b = 9.5379 Å, c = 5.0524 Å
α = 104.86°, β = 104.86°, γ = 30.82°
Fractional coordinates of all 6 atoms:
K: 0.1689 0.1689 0.1673
K: 0.8311 0.8311 0.8327
Li: 0.0000 0.0000 0.5000
Li: 0.4108 0.4108 0.4124
Li: 0.5000 0.5000 0.0000
Li: 0.5892 0.5892 0.5876

***

Record 7
The following is a DFT calculation (PBE-GGA) of crystalline KLi at its relaxed geometry.

Properties
- Total energy: -2.6 eV per formula unit
- Crystal system: trigonal
- E_form: 21 kJ/mol of atoms
- V: 44.718 Å³/atom
- SG: No. 166

a = 6.5953 Å, b = 6.5953 Å, c = 6.5953 Å
α = 36.18°, β = 36.18°, γ = 36.18°
Fractional coordinates of all 2 atoms:
K: 0.0000 0.0000 0.0000
Li: 0.5000 0.5000 0.5000

***

Record 8
The following is a DFT calculation (PBE-GGA) of crystalline KLi2 at its relaxed geometry.

Properties
- Total energy: -4.4 eV per formula unit
- Crystal system: trigonal
- E_form: 18 kJ/mol of atoms
- V: 35.403 Å³/atom
- SG: No. 164

a = 5.8725 Å, b = 5.8725 Å, c = 3.5562 Å
α = 90.00°, β = 90.00°, γ = 120.00°
Fractional coordinates of all 3 atoms:
K: 0.0000 0.0000 0.0000
Li: 0.3333 0.6667 0.3755
Li: 0.6667 0.3333 0.6245

***

Record 9
The following is a DFT calculation (PBE-GGA) of crystalline KLi2 at its relaxed geometry.

Properties
- Total energy: -4.7 eV per formula unit
- Crystal system: triclinic
- E_form: 9 kJ/mol of atoms
- V: 37.143 Å³/atom
- SG: No. 2

a = 4.1403 Å, b = 4.2467 Å, c = 12.8379 Å
α = 89.87°, β = 80.86°, γ = 90.00°
Fractional coordinates of all 6 atoms:
K: 0.1802 0.2480 0.1522
K: 0.8198 0.7520 0.8478
Li: 0.0359 0.2504 0.4251
Li: 0.4481 0.2497 0.6053
Li: 0.5519 0.7503 0.3947
Li: 0.9641 0.7496 0.5749

***

Record 10
The following is a DFT calculation (PBE-GGA) of crystalline KLi at its relaxed geometry.

Properties
- Total energy: -2.7 eV per formula unit
- Crystal system: trigonal
- E_form: 17 kJ/mol of atoms
- V: 45.083 Å³/atom
- SG: No. 166

a = 11.7860 Å, b = 11.7860 Å, c = 11.7860 Å
α = 20.77°, β = 20.77°, γ = 20.77°
Fractional coordinates of all 4 atoms:
K: 0.1078 0.1078 0.1078
K: 0.8922 0.8922 0.8922
Li: 0.3573 0.3573 0.3573
Li: 0.6427 0.6427 0.6427

***

Record 11
The following is a DFT calculation (PBE-GGA) of crystalline KLi3 at its relaxed geometry.

Properties
- Total energy: -6.2 eV per formula unit
- Crystal system: orthorhombic
- E_form: 16 kJ/mol of atoms
- V: 31.517 Å³/atom
- SG: No. 44

a = 6.6176 Å, b = 6.6176 Å, c = 6.6176 Å
α = 146.59°, β = 64.15°, γ = 126.97°
Fractional coordinates of all 4 atoms:
K: 0.0000 0.0000 0.0000
Li: 0.2813 0.5012 0.7801
Li: 0.4997 0.9997 0.5000
Li: 0.7210 0.5012 0.2199

***

Record 12
The following is a DFT calculation (PBE-GGA) of crystalline KLi2 at its relaxed geometry.

Properties
- Total energy: -4.7 eV per formula unit
- Crystal system: monoclinic
- E_form: 9 kJ/mol of atoms
- V: 37.329 Å³/atom
- SG: No. 6

a = 4.2136 Å, b = 4.2198 Å, c = 12.5975 Å
α = 90.00°, β = 90.60°, γ = 90.00°
Fractional coordinates of all 6 atoms:
K: 0.0000 0.0000 0.0000
K: 0.4955 0.5000 0.6944
Li: 0.9997 0.5000 0.2561
Li: 0.0055 0.0000 0.4466
Li: 0.4999 0.0000 0.2563
Li: 0.5058 0.5000 0.4205

***

Record 13
The following is a DFT calculation (PBE-GGA) of crystalline K5Li at its relaxed geometry.

Properties
- Total energy: -6.9 eV per formula unit
- Crystal system: orthorhombic
- E_form: 7 kJ/mol of atoms
- V: 62.761 Å³/atom
- SG: No. 38

a = 7.0875 Å, b = 10.7743 Å, c = 10.7743 Å
α = 27.24°, β = 90.00°, γ = 90.00°
Fractional coordinates of all 6 atoms:
K: 0.0000 0.0000 0.0000
K: 0.0000 0.2987 0.2987
K: 0.5000 0.1491 0.1491
K: 0.5000 0.4833 0.4833
K: 0.5000 0.8145 0.8145
Li: 0.0000 0.6494 0.6494

***

Record 14
The following is a DFT calculation (PBE-GGA) of crystalline KLi2 at its relaxed geometry.

Properties
- Total energy: -4.3 eV per formula unit
- Crystal system: orthorhombic
- E_form: 19 kJ/mol of atoms
- V: 35.211 Å³/atom
- SG: No. 58

a = 3.4913 Å, b = 9.9523 Å, c = 6.0802 Å
α = 90.00°, β = 90.00°, γ = 90.00°
Fractional coordinates of all 6 atoms:
K: 0.0000 0.0000 0.0000
K: 0.5000 0.5000 0.5000
Li: 0.1921 0.3463 0.0000
Li: 0.3079 0.8463 0.5000
Li: 0.6921 0.1537 0.5000
Li: 0.8079 0.6537 0.0000

***

Record 15
The following is a DFT calculation (PBE-GGA) of crystalline KLi at its relaxed geometry.

Properties
- Total energy: -2.6 eV per formula unit
- Crystal system: hexagonal
- E_form: 21 kJ/mol of atoms
- V: 44.653 Å³/atom
- SG: No. 194

a = 4.0878 Å, b = 4.0878 Å, c = 12.3422 Å
α = 90.00°, β = 90.00°, γ = 120.00°
Fractional coordinates of all 4 atoms:
K: 0.0000 0.0000 0.0000
K: 0.0000 0.0000 0.5000
Li: 0.3333 0.6667 0.2500
Li: 0.6667 0.3333 0.7500